# 1
# CaGaI

A geometry-optimized CaGaI structure (GGA-PBE, the Alexandria database).

Results
Formation energy (no corrections) in eV/atom: -0.562

Cell lengths 13.648, 4.080, 7.104 Å; angles 90.00, 90.00, 90.00 degrees
Space group Amm2 (No. 38)
Asymmetric unit:
Ca: 0.153 0.000 0.000
Ga: 0.000 0.000 0.332
Ga: 0.500 0.000 0.013
I: 0.318 0.000 0.333


# 2
# CaGa3I12

A geometry-optimized CaGa3I12 structure (GGA-PBE, the Alexandria database).

Results
Formation energy (no corrections) in eV/atom: -0.630

Cell lengths 13.5435, 13.5435, 40.4863 Å; angles 90.00, 90.00, 120.00 degrees
Space group R3c (No. 161, hexagonal axes)
Asymmetric unit:
Ca: 0.0000 0.0000 0.0000
Ga: 0.1055 0.3381 0.1615
I: 0.0500 0.2144 0.4569
I: 0.0515 0.2234 0.6272
I: 0.1130 0.3516 0.8522
I: 0.1908 0.4438 0.7094


# 3
# CaGa2I6

A geometry-optimized CaGa2I6 structure (GGA-PBE, the Alexandria database).

Results
Formation energy (no corrections) in eV/atom: -0.857
Relative energy among the computed polymorphs in eV per atom: 0.000

Cell lengths 7.6612, 7.6612, 25.3533 Å; angles 90.00, 90.00, 120.00 degrees
Space group R3 (No. 146, hexagonal axes)
Asymmetric unit:
Ca: 0.0000 0.0000 0.0000
Ga: 0.0000 0.0000 0.6191
Ga: 0.0000 0.0000 0.7145
I: 0.0348 0.3395 0.5828
I: 0.0357 0.6957 0.7507


# 4
# CaGaI3

A geometry-optimized CaGaI3 structure (GGA-PBE, the Alexandria database).

Results
Formation energy (no corrections) in eV/atom: -1.091
Relative energy among the computed polymorphs in eV per atom: 0.000

Cell lengths 7.951, 14.041, 8.070 Å; angles 90.00, 108.23, 90.00 degrees
Space group C2/m (No. 12)
Asymmetric unit:
Ca: 0.000 0.163 0.000
Ga: 0.000 0.340 0.500
I: 0.224 0.000 0.231
I: 0.248 0.183 0.759


# 5
# Ca2GaI

A geometry-optimized Ca2GaI structure (GGA-PBE, the Alexandria database).

Results
Formation energy (no corrections) in eV/atom: -0.460
Relative energy among the computed polymorphs in eV per atom: 0.299

Cell lengths 8.254, 8.254, 7.978 Å; angles 90.00, 90.00, 90.00 degrees
Space group I-42d (No. 122)
Asymmetric unit:
Ca: 0.232 0.250 0.125
Ga: 0.000 0.000 0.000
I: 0.000 0.000 0.500


# 6
# CaGaI2

A geometry-optimized CaGaI2 structure (GGA-PBE, the Alexandria database).

Results
Formation energy (no corrections) in eV/atom: -0.535
Relative energy among the computed polymorphs in eV per atom: 0.144

Cell lengths 4.5916, 4.5916, 29.5712 Å; angles 90.00, 90.00, 120.00 degrees
Space group R-3m (No. 166, hexagonal axes)
Asymmetric unit:
Ca: 0.0000 0.0000 0.0000
Ga: 0.0000 0.0000 0.5000
I: 0.0000 0.0000 0.1013


# 7
# CaGa3I

A geometry-optimized CaGa3I structure (GGA-PBE, the Alexandria database).

Results
Formation energy (no corrections) in eV/atom: 0.398
Relative energy among the computed polymorphs in eV per atom: 0.000

Cell lengths 5.785, 5.785, 5.785 Å; angles 90.00, 90.00, 90.00 degrees
Space group Pm-3m (No. 221)
Asymmetric unit:
Ca: 0.000 0.000 0.000
Ga: 0.000 0.500 0.500
I: 0.500 0.500 0.500


# 8
# CaGa2I

A geometry-optimized CaGa2I structure (GGA-PBE, the Alexandria database).

Results
Formation energy (no corrections) in eV/atom: 0.021
Relative energy among the computed polymorphs in eV per atom: 0.156

Cell lengths 7.702, 7.702, 7.702 Å; angles 90.00, 90.00, 90.00 degrees
Space group Fm-3m (No. 225)
Asymmetric unit:
Ca: 0.000 0.000 0.000
Ga: 0.250 0.250 0.250
I: 0.000 0.000 0.500


# 9
# CaGa2I4

A geometry-optimized CaGa2I4 structure (GGA-PBE, the Alexandria database).

Results
Formation energy (no corrections) in eV/atom: -0.765
Relative energy among the computed polymorphs in eV per atom: 0.098

Cell lengths 6.335, 6.335, 15.129 Å; angles 90.00, 90.00, 90.00 degrees
Space group I4/mmm (No. 139)
Asymmetric unit:
Ca: 0.000 0.000 0.000
Ga: 0.000 0.000 0.392
I: 0.000 0.000 0.202
I: 0.000 0.500 0.000


# 10
# CaGaI5

A geometry-optimized CaGaI5 structure (GGA-PBE, the Alexandria database).

Results
Formation energy (no corrections) in eV/atom: -0.912

Cell lengths 11.712, 11.455, 11.380 Å; angles 90.00, 118.23, 90.00 degrees
Space group C2/c (No. 15)
Asymmetric unit:
Ca: 0.000 0.000 0.000
Ga: 0.000 0.391 0.250
I: 0.000 0.095 0.750
I: 0.007 0.278 0.451
I: 0.192 0.460 0.841


# 11
# CaGa3I

A geometry-optimized CaGa3I structure (GGA-PBE, the Alexandria database).

Results
Formation energy (no corrections) in eV/atom: 0.517
Relative energy among the computed polymorphs in eV per atom: 0.119

Cell lengths 5.836, 5.836, 5.836 Å; angles 90.00, 90.00, 90.00 degrees
Space group Pm-3m (No. 221)
Asymmetric unit:
Ca: 0.000 0.000 0.000
Ga: 0.000 0.000 0.500
I: 0.500 0.500 0.500


# 12
# Ca2GaMoI

A geometry-optimized Ca2GaMoI structure (GGA-PBE, the Alexandria database).

Results
Formation energy (no corrections) in eV/atom: 0.913

Cell lengths 5.779, 5.779, 5.716 Å; angles 90.00, 90.00, 90.00 degrees
Space group P4/mmm (No. 123)
Asymmetric unit:
Ca: 0.000 0.500 0.000
Ga: 0.000 0.000 0.500
Mo: 0.500 0.500 0.500
I: 0.000 0.000 0.000


# 13
# CaGaIN2

A geometry-optimized CaGaIN2 structure (GGA-PBE, the Alexandria database).

Results
Formation energy (no corrections) in eV/atom: 0.597
Relative energy among the computed polymorphs in eV per atom: 0.000

Cell lengths 4.100, 4.100, 5.746 Å; angles 90.00, 90.00, 90.00 degrees
Space group P4/mmm (No. 123)
Asymmetric unit:
Ca: 0.000 0.000 0.000
Ga: 0.500 0.500 0.500
I: 0.500 0.500 0.000
N: 0.000 0.500 0.500


# 14
# CaGaI2N

A geometry-optimized CaGaI2N structure (GGA-PBE, the Alexandria database).

Results
Formation energy (no corrections) in eV/atom: -0.169
Relative energy among the computed polymorphs in eV per atom: 0.000

Cell lengths 5.951, 5.951, 3.673 Å; angles 90.00, 90.00, 90.00 degrees
Space group P4/mmm (No. 123)
Asymmetric unit:
Ca: 0.000 0.000 0.000
Ga: 0.500 0.500 0.500
I: 0.000 0.500 0.500
N: 0.500 0.500 0.000


# 15
# CaGaI2N

A geometry-optimized CaGaI2N structure (GGA-PBE, the Alexandria database).

Results
Formation energy (no corrections) in eV/atom: -0.029
Relative energy among the computed polymorphs in eV per atom: 0.140

Cell lengths 6.228, 6.228, 4.722 Å; angles 90.00, 90.00, 90.00 degrees
Space group P4/mmm (No. 123)
Asymmetric unit:
Ca: 0.000 0.000 0.000
Ga: 0.500 0.500 0.500
I: 0.000 0.500 0.000
N: 0.000 0.000 0.500


# 16
# CaGaIN2

A geometry-optimized CaGaIN2 structure (GGA-PBE, the Alexandria database).

Results
Formation energy (no corrections) in eV/atom: 0.949
Relative energy among the computed polymorphs in eV per atom: 0.351

Cell lengths 4.785, 4.785, 6.420 Å; angles 90.00, 90.00, 90.00 degrees
Space group P4/mmm (No. 123)
Asymmetric unit:
Ca: 0.000 0.000 0.000
Ga: 0.500 0.500 0.500
I: 0.000 0.000 0.500
N: 0.000 0.500 0.000


# 17
# CaGaIO2

A geometry-optimized CaGaIO2 structure (GGA-PBE, the Alexandria database).

Results
Formation energy (no corrections) in eV/atom: -1.012
Relative energy among the computed polymorphs in eV per atom: 0.000

Cell lengths 4.120, 4.120, 5.396 Å; angles 90.00, 90.00, 90.00 degrees
Space group P4/mmm (No. 123)
Asymmetric unit:
Ca: 0.000 0.000 0.000
Ga: 0.500 0.500 0.500
I: 0.500 0.500 0.000
O: 0.000 0.500 0.500


# 18
# CaGaIO2

A geometry-optimized CaGaIO2 structure (GGA-PBE, the Alexandria database).

Results
Formation energy (no corrections) in eV/atom: -0.579
Relative energy among the computed polymorphs in eV per atom: 0.433

Cell lengths 4.467, 4.467, 6.549 Å; angles 90.00, 90.00, 90.00 degrees
Space group P4/mmm (No. 123)
Asymmetric unit:
Ca: 0.000 0.000 0.000
Ga: 0.500 0.500 0.500
I: 0.000 0.000 0.500
O: 0.000 0.500 0.000


# 19
# CaGa2IO8

A geometry-optimized CaGa2IO8 structure (GGA-PBE, the Alexandria database).

Results
Formation energy (no corrections) in eV/atom: -1.228

Cell lengths 4.617, 6.549, 4.679 Å; angles 90.00, 90.89, 90.00 degrees
Space group P2/m (No. 10)
Asymmetric unit:
Ca: 0.000 0.000 0.000
Ga: 0.500 0.259 0.500
I: 0.000 0.500 0.000
O: 0.208 0.287 0.184
O: 0.282 0.500 0.693
O: 0.314 0.000 0.632


# 20
# Rb2CaGaI6

A geometry-optimized Rb2CaGaI6 structure (GGA-PBE, the Alexandria database).

Results
Formation energy (no corrections) in eV/atom: -1.114

Cell lengths 12.146, 12.146, 12.146 Å; angles 90.00, 90.00, 90.00 degrees
Space group Fm-3m (No. 225)
Asymmetric unit:
Rb: 0.250 0.250 0.250
Ca: 0.000 0.000 0.000
Ga: 0.000 0.000 0.500
I: 0.000 0.000 0.256


# 21
# Ca2GaRhI

A geometry-optimized Ca2GaRhI structure (GGA-PBE, the Alexandria database).

Results
Formation energy (no corrections) in eV/atom: -0.640

Cell lengths 5.586, 5.586, 4.765 Å; angles 90.00, 90.00, 90.00 degrees
Space group P4/mmm (No. 123)
Asymmetric unit:
Ca: 0.000 0.500 0.000
Ga: 0.000 0.000 0.500
Rh: 0.000 0.000 0.000
I: 0.500 0.500 0.500


# 22
# CaGaSbI2

A geometry-optimized CaGaSbI2 structure (GGA-PBE, the Alexandria database).

Results
Formation energy (no corrections) in eV/atom: -0.254
Relative energy among the computed polymorphs in eV per atom: 0.000

Cell lengths 5.695, 5.695, 5.458 Å; angles 90.00, 90.00, 90.00 degrees
Space group P4/mmm (No. 123)
Asymmetric unit:
Ca: 0.000 0.000 0.000
Ga: 0.500 0.500 0.500
Sb: 0.500 0.500 0.000
I: 0.000 0.500 0.500


# 23
# CaGaSbI2

A geometry-optimized CaGaSbI2 structure (GGA-PBE, the Alexandria database).

Results
Formation energy (no corrections) in eV/atom: -0.249
Relative energy among the computed polymorphs in eV per atom: 0.005

Cell lengths 6.074, 6.074, 6.255 Å; angles 90.00, 90.00, 90.00 degrees
Space group P4/mmm (No. 123)
Asymmetric unit:
Ca: 0.000 0.000 0.000
Ga: 0.500 0.500 0.500
Sb: 0.000 0.000 0.500
I: 0.000 0.500 0.000


# 24
# CaGaTe2I

A geometry-optimized CaGaTe2I structure (GGA-PBE, the Alexandria database).

Results
Formation energy (no corrections) in eV/atom: -0.240
Relative energy among the computed polymorphs in eV per atom: 0.193

Cell lengths 5.919, 5.919, 6.123 Å; angles 90.00, 90.00, 90.00 degrees
Space group P4/mmm (No. 123)
Asymmetric unit:
Ca: 0.000 0.000 0.000
Ga: 0.500 0.500 0.500
Te: 0.000 0.500 0.000
I: 0.000 0.000 0.500


# 25
# CaGaTeI

A geometry-optimized CaGaTeI structure (GGA-PBE, the Alexandria database).

Results
Formation energy (no corrections) in eV/atom: -0.803

Cell lengths 7.886, 7.886, 7.886 Å; angles 90.00, 90.00, 90.00 degrees
Space group F-43m (No. 216)
Asymmetric unit:
Ca: 0.000 0.000 0.000
Ga: 0.000 0.000 0.500
Te: 0.250 0.250 0.250
I: 0.250 0.250 0.750


The following total energy values (in eV for the cell shown) correspond, in order, to the records above: -33.1 -238.6 -75.2 -60.5 -41.7 -30.8 -10.6 -38.1 -39.2 -76.7 -10.0 -14.8 -20.2 -17.3 -16.6 -18.5 -21.6 -19.4 -64.0 -109.6 -19.1 -13.5 -13.5 -14.1 -51.7.